TlAs3Ru (PBEsol, relaxed); formation energy from the elements = 402 meV/atom; crystal system = cubic
1.0
-2.991 -3.005 2.247
-1.714 -1.463 -4.237
3.338 -3.443 -0.162
Ru Tl As
1 1 3
direct
0.000 0.000 0.000
0.500 0.500 0.500
0.000 0.500 0.000
0.000 0.000 0.500
0.500 0.000 0.000